1.
# CsInBi3

A geometry-optimized CsInBi3 structure (PBE-GGA, Alexandria via LeMat-Bulk).

```
data_CsInBi3
_chemical_formula_sum 'Cs1 In1 Bi3'
_space_group_name_H-M_alt 'P m -3 m'
_space_group_IT_number 221
_space_group_name_Hall '-P 4 2 3'
_cell_length_a 6.383
_cell_length_b 6.383
_cell_length_c 6.383
_cell_angle_alpha 90.00
_cell_angle_beta 90.00
_cell_angle_gamma 90.00
loop_
_atom_site_label
_atom_site_type_symbol
_atom_site_fract_x
_atom_site_fract_y
_atom_site_fract_z
_atom_site_occupancy
Cs1 Cs 0.000 0.000 0.000 1
In1 In 0.500 0.500 0.500 1
Bi1 Bi 0.000 0.000 0.500 1
```

V = 52.0 Å³/atom
E above lowest polymorph = 1306.8 meV/atom

***

2.
# CsIn3Bi3

A geometry-optimized CsIn3Bi3 structure (PBE-GGA, Alexandria via LeMat-Bulk).

```
data_CsIn3Bi3
_chemical_formula_sum 'Cs2 In6 Bi6'
_space_group_name_H-M_alt 'P 63/m'
_space_group_IT_number 176
_space_group_name_Hall '-P 6c'
_cell_length_a 11.3307
_cell_length_b 11.3307
_cell_length_c 5.5726
_cell_angle_alpha 90.00
_cell_angle_beta 90.00
_cell_angle_gamma 120.00
loop_
_atom_site_label
_atom_site_type_symbol
_atom_site_fract_x
_atom_site_fract_y
_atom_site_fract_z
_atom_site_occupancy
Cs1 Cs 0.3333 0.6667 0.2500 1
In1 In 0.0681 0.3924 0.7500 1
Bi1 Bi 0.0625 0.6626 0.7500 1
```

V = 44.3 Å³/atom
Calculated total energy = -3.037 eV/atom

***

3.
# CsIn2Bi2

A geometry-optimized CsIn2Bi2 structure (PBE-GGA, Alexandria via LeMat-Bulk).

```
data_CsIn2Bi2
_chemical_formula_sum 'Cs2 In4 Bi4'
_space_group_name_H-M_alt 'P 4/m b m'
_space_group_IT_number 127
_space_group_name_Hall '-P 4 2ab'
_cell_length_a 9.763
_cell_length_b 9.763
_cell_length_c 3.657
_cell_angle_alpha 90.00
_cell_angle_beta 90.00
_cell_angle_gamma 90.00
loop_
_atom_site_label
_atom_site_type_symbol
_atom_site_fract_x
_atom_site_fract_y
_atom_site_fract_z
_atom_site_occupancy
Cs1 Cs 0.000 0.000 0.000 1
In1 In 0.128 0.372 0.000 1
Bi1 Bi 0.162 0.662 0.500 1
```

V = 34.9 Å³/atom
E above lowest polymorph = 122.2 meV/atom

***

4.
# CsInBi2

A geometry-optimized CsInBi2 structure (PBE-GGA, Alexandria via LeMat-Bulk).

```
data_CsInBi2
_chemical_formula_sum 'Cs4 In4 Bi8'
_space_group_name_H-M_alt 'P 1 21/c 1'
_space_group_IT_number 14
_space_group_name_Hall '-P 2ybc'
_cell_length_a 7.524
_cell_length_b 5.971
_cell_length_c 17.450
_cell_angle_alpha 90.00
_cell_angle_beta 115.39
_cell_angle_gamma 90.00
loop_
_atom_site_label
_atom_site_type_symbol
_atom_site_fract_x
_atom_site_fract_y
_atom_site_fract_z
_atom_site_occupancy
Cs1 Cs 0.250 0.250 0.250 1
In1 In 0.250 0.000 0.000 1
Bi1 Bi 0.078 0.665 0.079 1
Bi2 Bi 0.422 0.665 0.921 1
```

V = 44.3 Å³/atom
Calculated total energy = -2.988 eV/atom

***

5.
# Cs4InBi4

A geometry-optimized Cs4InBi4 structure (PBE-GGA, Alexandria via LeMat-Bulk).

```
data_Cs4InBi4
_chemical_formula_sum 'Cs8 In2 Bi8'
_space_group_name_H-M_alt 'I -4 2 m'
_space_group_IT_number 121
_space_group_name_Hall 'I -4 2'
_cell_length_a 7.810
_cell_length_b 7.810
_cell_length_c 17.129
_cell_angle_alpha 90.00
_cell_angle_beta 90.00
_cell_angle_gamma 90.00
loop_
_atom_site_label
_atom_site_type_symbol
_atom_site_fract_x
_atom_site_fract_y
_atom_site_fract_z
_atom_site_occupancy
Cs1 Cs 0.186 0.186 0.131 1
In1 In 0.000 0.000 0.500 1
Bi1 Bi 0.144 0.144 0.356 1
```

V = 58.0 Å³/atom
Calculated total energy = -2.572 eV/atom

***

6.
# CsIn2Bi2

A geometry-optimized CsIn2Bi2 structure (PBE-GGA, Alexandria via LeMat-Bulk).

```
data_CsIn2Bi2
_chemical_formula_sum 'Cs2 In4 Bi4'
_space_group_name_H-M_alt 'P 4/m b m'
_space_group_IT_number 127
_space_group_name_Hall '-P 4 2ab'
_cell_length_a 9.702
_cell_length_b 9.702
_cell_length_c 4.145
_cell_angle_alpha 90.00
_cell_angle_beta 90.00
_cell_angle_gamma 90.00
loop_
_atom_site_label
_atom_site_type_symbol
_atom_site_fract_x
_atom_site_fract_y
_atom_site_fract_z
_atom_site_occupancy
Cs1 Cs 0.000 0.000 0.000 1
In1 In 0.140 0.360 0.500 1
Bi1 Bi 0.116 0.616 0.000 1
```

V = 39.0 Å³/atom
E above lowest polymorph = 149.5 meV/atom

***

7.
# CsIn2Bi2

A geometry-optimized CsIn2Bi2 structure (PBE-GGA, Alexandria via LeMat-Bulk).

```
data_CsIn2Bi2
_chemical_formula_sum 'Cs1 In2 Bi2'
_space_group_name_H-M_alt 'P 4/m m m'
_space_group_IT_number 123
_space_group_name_Hall '-P 4 2'
_cell_length_a 5.286
_cell_length_b 5.286
_cell_length_c 6.938
_cell_angle_alpha 90.00
_cell_angle_beta 90.00
_cell_angle_gamma 90.00
loop_
_atom_site_label
_atom_site_type_symbol
_atom_site_fract_x
_atom_site_fract_y
_atom_site_fract_z
_atom_site_occupancy
Cs1 Cs 0.000 0.000 0.000 1
In1 In 0.000 0.500 0.500 1
Bi1 Bi 0.500 0.500 0.230 1
```

V = 38.8 Å³/atom
E above lowest polymorph = 117.5 meV/atom

***

8.
# CsIn3Bi

A geometry-optimized CsIn3Bi structure (PBE-GGA, Alexandria via LeMat-Bulk).

```
data_CsIn3Bi
_chemical_formula_sum 'Cs1 In3 Bi1'
_space_group_name_H-M_alt 'P m -3 m'
_space_group_IT_number 221
_space_group_name_Hall '-P 4 2 3'
_cell_length_a 6.295
_cell_length_b 6.295
_cell_length_c 6.295
_cell_angle_alpha 90.00
_cell_angle_beta 90.00
_cell_angle_gamma 90.00
loop_
_atom_site_label
_atom_site_type_symbol
_atom_site_fract_x
_atom_site_fract_y
_atom_site_fract_z
_atom_site_occupancy
Cs1 Cs 0.000 0.000 0.000 1
In1 In 0.000 0.000 0.500 1
Bi1 Bi 0.500 0.500 0.500 1
```

V = 49.9 Å³/atom
E above lowest polymorph = 793.1 meV/atom

***

9.
# Cs2In3Bi5

A geometry-optimized Cs2In3Bi5 structure (PBE-GGA, Alexandria via LeMat-Bulk).

```
data_Cs2In3Bi5
_chemical_formula_sum 'Cs8 In12 Bi20'
_space_group_name_H-M_alt 'I b a m'
_space_group_IT_number 72
_space_group_name_Hall '-I 2 2c'
_cell_length_a 12.684
_cell_length_b 15.976
_cell_length_c 7.716
_cell_angle_alpha 90.00
_cell_angle_beta 90.00
_cell_angle_gamma 90.00
loop_
_atom_site_label
_atom_site_type_symbol
_atom_site_fract_x
_atom_site_fract_y
_atom_site_fract_z
_atom_site_occupancy
Cs1 Cs 0.239 0.130 0.000 1
In1 In 0.000 0.000 0.250 1
In2 In 0.136 0.384 0.000 1
Bi1 Bi 0.000 0.273 0.250 1
Bi2 Bi 0.000 0.500 0.250 1
Bi3 Bi 0.117 0.124 0.500 1
```

V = 39.1 Å³/atom
Calculated total energy = -3.113 eV/atom

***

10.
# Cs5In2Bi4

A geometry-optimized Cs5In2Bi4 structure (PBE-GGA, Alexandria via LeMat-Bulk).

```
data_Cs5In2Bi4
_chemical_formula_sum 'Cs10 In4 Bi8'
_space_group_name_H-M_alt 'C 1 2/m 1'
_space_group_IT_number 12
_space_group_name_Hall '-C 2y'
_cell_length_a 23.442
_cell_length_b 5.857
_cell_length_c 9.098
_cell_angle_alpha 90.00
_cell_angle_beta 103.47
_cell_angle_gamma 90.00
loop_
_atom_site_label
_atom_site_type_symbol
_atom_site_fract_x
_atom_site_fract_y
_atom_site_fract_z
_atom_site_occupancy
Cs1 Cs 0.000 0.000 0.000 1
Cs2 Cs 0.167 0.500 0.448 1
Cs3 Cs 0.167 0.500 0.967 1
In1 In 0.063 0.000 0.633 1
Bi1 Bi 0.009 0.500 0.670 1
Bi2 Bi 0.188 0.000 0.721 1
```

V = 55.2 Å³/atom
Calculated total energy = -2.520 eV/atom

***

11.
# CsInBi2

A geometry-optimized CsInBi2 structure (PBE-GGA, Alexandria via LeMat-Bulk).

```
data_CsInBi2
_chemical_formula_sum 'Cs3 In3 Bi6'
_space_group_name_H-M_alt 'R -3 m'
_space_group_IT_number 166
_space_group_name_Hall '-R 3 2"'
_cell_length_a 5.6033
_cell_length_b 5.6033
_cell_length_c 20.9009
_cell_angle_alpha 90.00
_cell_angle_beta 90.00
_cell_angle_gamma 120.00
loop_
_atom_site_label
_atom_site_type_symbol
_atom_site_fract_x
_atom_site_fract_y
_atom_site_fract_z
_atom_site_occupancy
Cs1 Cs 0.0000 0.0000 0.0000 1
In1 In 0.0000 0.0000 0.5000 1
Bi1 Bi 0.0000 0.0000 0.1896 1
```

V = 47.4 Å³/atom
Calculated total energy = -2.939 eV/atom

***

12.
# CsInBi2

A geometry-optimized CsInBi2 structure (PBE-GGA, Alexandria via LeMat-Bulk).

```
data_CsInBi2
_chemical_formula_sum 'Cs4 In4 Bi8'
_space_group_name_H-M_alt 'C 1 2/c 1'
_space_group_IT_number 15
_space_group_name_Hall '-C 2yc'
_cell_length_a 6.961
_cell_length_b 14.827
_cell_length_c 6.944
_cell_angle_alpha 90.00
_cell_angle_beta 112.80
_cell_angle_gamma 90.00
loop_
_atom_site_label
_atom_site_type_symbol
_atom_site_fract_x
_atom_site_fract_y
_atom_site_fract_z
_atom_site_occupancy
Cs1 Cs 0.000 0.112 0.250 1
In1 In 0.000 0.250 0.750 1
Bi1 Bi 0.134 0.382 0.117 1
```

V = 41.3 Å³/atom
Calculated total energy = -3.070 eV/atom

***

13.
# CsIn6Bi4

A geometry-optimized CsIn6Bi4 structure (PBE-GGA, Alexandria via LeMat-Bulk).

```
data_CsIn6Bi4
_chemical_formula_sum 'Cs2 In12 Bi8'
_space_group_name_H-M_alt 'I 4/m m m'
_space_group_IT_number 139
_space_group_name_Hall '-I 4 2'
_cell_length_a 5.406
_cell_length_b 5.406
_cell_length_c 27.973
_cell_angle_alpha 90.00
_cell_angle_beta 90.00
_cell_angle_gamma 90.00
loop_
_atom_site_label
_atom_site_type_symbol
_atom_site_fract_x
_atom_site_fract_y
_atom_site_fract_z
_atom_site_occupancy
Cs1 Cs 0.000 0.000 0.000 1
In1 In 0.000 0.500 0.121 1
In2 In 0.000 0.500 0.250 1
Bi1 Bi 0.000 0.000 0.182 1
Bi2 Bi 0.000 0.000 0.440 1
```

V = 37.2 Å³/atom
E above lowest polymorph = 0.0 meV/atom

***

14.
# Cs2In12Bi7

A geometry-optimized Cs2In12Bi7 structure (PBE-GGA, Alexandria via LeMat-Bulk).

```
data_Cs2In12Bi7
_chemical_formula_sum 'Cs2 In12 Bi7'
_space_group_name_H-M_alt 'P -3'
_space_group_IT_number 147
_space_group_name_Hall '-P 3'
_cell_length_a 12.6848
_cell_length_b 12.6848
_cell_length_c 5.3651
_cell_angle_alpha 90.00
_cell_angle_beta 90.00
_cell_angle_gamma 120.00
loop_
_atom_site_label
_atom_site_type_symbol
_atom_site_fract_x
_atom_site_fract_y
_atom_site_fract_z
_atom_site_occupancy
Cs1 Cs 0.3333 0.6667 0.2507 1
In1 In 0.0479 0.4329 0.7471 1
In2 In 0.1264 0.2587 0.2512 1
Bi1 Bi 0.0000 0.0000 0.5000 1
Bi2 Bi 0.1109 0.7150 0.7548 1
```

V = 35.6 Å³/atom
Calculated total energy = -3.006 eV/atom

***

15.
# CsIn4Bi4

A geometry-optimized CsIn4Bi4 structure (PBE-GGA, Alexandria via LeMat-Bulk).

```
data_CsIn4Bi4
_chemical_formula_sum 'Cs2 In8 Bi8'
_space_group_name_H-M_alt 'P 42/n'
_space_group_IT_number 86
_cell_length_a 10.286
_cell_length_b 10.286
_cell_length_c 6.685
_cell_angle_alpha 90.00
_cell_angle_beta 90.00
_cell_angle_gamma 90.00
loop_
_space_group_symop_operation_xyz
'x,y,z'
'-x,-y,-z'
'-y,x+1/2,z+1/2'
'y,-x+1/2,-z+1/2'
'-x+1/2,-y+1/2,z'
'x+1/2,y+1/2,-z'
'y+1/2,-x,z+1/2'
'-y+1/2,x,-z+1/2'
loop_
_atom_site_label
_atom_site_type_symbol
_atom_site_fract_x
_atom_site_fract_y
_atom_site_fract_z
_atom_site_occupancy
Cs1 Cs 0.250 0.250 0.250 1
In1 In 0.115 0.615 0.139 1
Bi1 Bi 0.078 0.912 0.175 1
```

V = 39.3 Å³/atom
Calculated total energy = -3.082 eV/atom

***

16.
# CsIn2Bi2

A geometry-optimized CsIn2Bi2 structure (PBE-GGA, Alexandria via LeMat-Bulk).

```
data_CsIn2Bi2
_chemical_formula_sum 'Cs2 In4 Bi4'
_space_group_name_H-M_alt 'I 4/m m m'
_space_group_IT_number 139
_space_group_name_Hall '-I 4 2'
_cell_length_a 5.275
_cell_length_b 5.275
_cell_length_c 14.060
_cell_angle_alpha 90.00
_cell_angle_beta 90.00
_cell_angle_gamma 90.00
loop_
_atom_site_label
_atom_site_type_symbol
_atom_site_fract_x
_atom_site_fract_y
_atom_site_fract_z
_atom_site_occupancy
Cs1 Cs 0.000 0.000 0.000 1
In1 In 0.000 0.500 0.250 1
Bi1 Bi 0.000 0.000 0.372 1
```

V = 39.1 Å³/atom
E above lowest polymorph = 0.0 meV/atom

***

17.
# CsIn8Bi2

A geometry-optimized CsIn8Bi2 structure (PBE-GGA, Alexandria via LeMat-Bulk).

```
data_CsIn8Bi2
_chemical_formula_sum 'Cs1 In8 Bi2'
_space_group_name_H-M_alt 'P 4/m m m'
_space_group_IT_number 123
_space_group_name_Hall '-P 4 2'
_cell_length_a 6.245
_cell_length_b 6.245
_cell_length_c 11.614
_cell_angle_alpha 90.00
_cell_angle_beta 90.00
_cell_angle_gamma 90.00
loop_
_atom_site_label
_atom_site_type_symbol
_atom_site_fract_x
_atom_site_fract_y
_atom_site_fract_z
_atom_site_occupancy
Cs1 Cs 0.000 0.000 0.000 1
In1 In 0.251 0.251 0.293 1
Bi1 Bi 0.000 0.500 0.500 1
```

V = 41.2 Å³/atom
Calculated total energy = -2.716 eV/atom

***

18.
# Cs2In2Bi3

A geometry-optimized Cs2In2Bi3 structure (PBE-GGA, Alexandria via LeMat-Bulk).

```
data_Cs2In2Bi3
_chemical_formula_sum 'Cs8 In8 Bi12'
_space_group_name_H-M_alt 'C 1 2/m 1'
_space_group_IT_number 12
_space_group_name_Hall '-C 2y'
_cell_length_a 21.066
_cell_length_b 5.081
_cell_length_c 14.421
_cell_angle_alpha 90.00
_cell_angle_beta 125.39
_cell_angle_gamma 90.00
loop_
_atom_site_label
_atom_site_type_symbol
_atom_site_fract_x
_atom_site_fract_y
_atom_site_fract_z
_atom_site_occupancy
Cs1 Cs 0.118 0.000 0.466 1
Cs2 Cs 0.239 0.000 0.848 1
In1 In 0.021 0.500 0.790 1
In2 In 0.082 0.000 0.139 1
Bi1 Bi 0.065 0.500 0.624 1
Bi2 Bi 0.092 0.000 0.936 1
Bi3 Bi 0.145 0.500 0.280 1
```

V = 44.9 Å³/atom
E above lowest polymorph = 0.0 meV/atom

***

19.
# Cs2InBi

A geometry-optimized Cs2InBi structure (PBE-GGA, Alexandria via LeMat-Bulk).

```
data_Cs2InBi
_chemical_formula_sum 'Cs8 In4 Bi4'
_space_group_name_H-M_alt 'C m c m'
_space_group_IT_number 63
_space_group_name_Hall '-C 2c 2'
_cell_length_a 12.145
_cell_length_b 9.613
_cell_length_c 6.628
_cell_angle_alpha 90.00
_cell_angle_beta 90.00
_cell_angle_gamma 90.00
loop_
_atom_site_label
_atom_site_type_symbol
_atom_site_fract_x
_atom_site_fract_y
_atom_site_fract_z
_atom_site_occupancy
Cs1 Cs 0.172 0.152 0.250 1
In1 In 0.000 0.500 0.000 1
Bi1 Bi 0.000 0.213 0.750 1
```

V = 48.4 Å³/atom
E above lowest polymorph = 67.4 meV/atom

***

20.
# Cs3In2Bi3

A geometry-optimized Cs3In2Bi3 structure (PBE-GGA, Alexandria via LeMat-Bulk).

```
data_Cs3In2Bi3
_chemical_formula_sum 'Cs12 In8 Bi12'
_space_group_name_H-M_alt 'C m c m'
_space_group_IT_number 63
_space_group_name_Hall '-C 2c 2'
_cell_length_a 5.162
_cell_length_b 15.615
_cell_length_c 17.613
_cell_angle_alpha 90.00
_cell_angle_beta 90.00
_cell_angle_gamma 90.00
loop_
_atom_site_label
_atom_site_type_symbol
_atom_site_fract_x
_atom_site_fract_y
_atom_site_fract_z
_atom_site_occupancy
Cs1 Cs 0.000 0.066 0.110 1
Cs2 Cs 0.000 0.358 0.250 1
In1 In 0.000 0.238 0.594 1
Bi1 Bi 0.000 0.328 0.750 1
Bi2 Bi 0.000 0.359 0.043 1
```

V = 44.4 Å³/atom
Calculated total energy = -2.771 eV/atom

***

21.
# Cs3InBi

A geometry-optimized Cs3InBi structure (PBE-GGA, Alexandria via LeMat-Bulk).

```
data_Cs3InBi
_chemical_formula_sum 'Cs12 In4 Bi4'
_space_group_name_H-M_alt 'C 1 2/m 1'
_space_group_IT_number 12
_space_group_name_Hall '-C 2y'
_cell_length_a 13.888
_cell_length_b 11.874
_cell_length_c 9.790
_cell_angle_alpha 90.00
_cell_angle_beta 131.81
_cell_angle_gamma 90.00
loop_
_atom_site_label
_atom_site_type_symbol
_atom_site_fract_x
_atom_site_fract_y
_atom_site_fract_z
_atom_site_occupancy
Cs1 Cs 0.061 0.000 0.349 1
Cs2 Cs 0.211 0.320 0.753 1
In1 In 0.173 0.500 0.105 1
Bi1 Bi 0.067 0.500 0.300 1
```

V = 60.2 Å³/atom
E above lowest polymorph = 0.0 meV/atom